1.
# PBE-GGA Zr2Al2Ge, optimized geometry
# Energy relative to the elements (eV per atom): -0.32
data_Zr2Al2Ge
_cell_length_a 7.045
_cell_length_b 7.045
_cell_length_c 4.214
_cell_angle_alpha 90.00
_cell_angle_beta 90.00
_cell_angle_gamma 90.00
_symmetry_space_group_name_H-M 'P 1'
_symmetry_Int_Tables_number 1
loop_
_symmetry_equiv_pos_as_xyz
'x,y,z'
loop_
_atom_site_label
_atom_site_fract_x
_atom_site_fract_y
_atom_site_fract_z
Zr1 0.161 0.339 0.000
Zr2 0.339 0.839 0.000
Zr3 0.661 0.161 0.000
Zr4 0.839 0.661 0.000
Al1 0.139 0.639 0.500
Al2 0.361 0.139 0.500
Al3 0.639 0.861 0.500
Al4 0.861 0.361 0.500
Ge1 0.000 0.000 0.000
Ge2 0.500 0.500 0.000

=====

2.
# PBE-GGA Pm4SiSn3, optimized geometry
# Formation energy from raw total energies (kJ per mole of atoms): -72.1
data_Pm4SiSn3
_cell_length_a 4.266
_cell_length_b 4.598
_cell_length_c 11.483
_cell_angle_alpha 90.00
_cell_angle_beta 90.00
_cell_angle_gamma 90.00
_symmetry_space_group_name_H-M 'P 1'
_symmetry_Int_Tables_number 1
loop_
_symmetry_equiv_pos_as_xyz
'x,y,z'
loop_
_atom_site_label
_atom_site_fract_x
_atom_site_fract_y
_atom_site_fract_z
Pm1 0.000 0.000 0.000
Pm2 0.000 0.500 0.483
Pm3 0.500 0.000 0.714
Pm4 0.500 0.500 0.219
Si1 0.000 0.000 0.266
Sn1 0.000 0.500 0.762
Sn2 0.500 0.000 0.432
Sn3 0.500 0.500 0.943

=====

3.
# PBE-GGA La3Dy6Ho2Mg, optimized geometry
# Energy relative to the elements (eV per atom): 0.04
data_La3Dy6Ho2Mg
_cell_length_a 6.193
_cell_length_b 6.193
_cell_length_c 11.789
_cell_angle_alpha 95.04
_cell_angle_beta 95.04
_cell_angle_gamma 120.04
_symmetry_space_group_name_H-M 'P 1'
_symmetry_Int_Tables_number 1
loop_
_symmetry_equiv_pos_as_xyz
'x,y,z'
loop_
_atom_site_label
_atom_site_fract_x
_atom_site_fract_y
_atom_site_fract_z
La1 0.000 0.000 0.000
La2 0.334 0.666 0.000
La3 0.666 0.334 0.000
Dy1 0.088 0.420 0.257
Dy2 0.248 0.248 0.743
Dy3 0.420 0.088 0.257
Dy4 0.580 0.912 0.743
Dy5 0.752 0.752 0.257
Dy6 0.912 0.580 0.743
Ho1 0.166 0.834 0.500
Ho2 0.834 0.166 0.500
Mg1 0.500 0.500 0.500

=====

4.
# PBE-GGA CaMo2Cl, optimized geometry
# Formation energy from raw total energies (kJ per mole of atoms): 129.3
data_CaMo2Cl
_cell_length_a 5.076
_cell_length_b 5.076
_cell_length_c 2.889
_cell_angle_alpha 90.00
_cell_angle_beta 90.00
_cell_angle_gamma 90.00
_symmetry_space_group_name_H-M 'P 1'
_symmetry_Int_Tables_number 1
loop_
_symmetry_equiv_pos_as_xyz
'x,y,z'
loop_
_atom_site_label
_atom_site_fract_x
_atom_site_fract_y
_atom_site_fract_z
Ca1 0.000 0.000 0.000
Mo1 0.000 0.500 0.500
Mo2 0.500 0.000 0.500
Cl1 0.500 0.500 0.000

=====

5.
# PBE-GGA Zr2SbTe, optimized geometry
# Formation energy from raw total energies (kJ per mole of atoms): -63.7
data_Zr2SbTe
_cell_length_a 5.580
_cell_length_b 5.580
_cell_length_c 4.959
_cell_angle_alpha 98.61
_cell_angle_beta 98.61
_cell_angle_gamma 38.59
_symmetry_space_group_name_H-M 'P 1'
_symmetry_Int_Tables_number 1
loop_
_symmetry_equiv_pos_as_xyz
'x,y,z'
loop_
_atom_site_label
_atom_site_fract_x
_atom_site_fract_y
_atom_site_fract_z
Zr1 0.000 0.000 0.000
Zr2 0.209 0.209 0.581
Sb1 0.723 0.723 0.082
Te1 0.486 0.486 0.495

=====

6.
# PBE-GGA Pm3Ti2N6, optimized geometry
# Formation energy from raw total energies (kJ per mole of atoms): -132.9
data_Pm3Ti2N6
_cell_length_a 10.361
_cell_length_b 10.361
_cell_length_c 10.361
_cell_angle_alpha 158.24
_cell_angle_beta 158.24
_cell_angle_gamma 30.96
_symmetry_space_group_name_H-M 'P 1'
_symmetry_Int_Tables_number 1
loop_
_symmetry_equiv_pos_as_xyz
'x,y,z'
loop_
_atom_site_label
_atom_site_fract_x
_atom_site_fract_y
_atom_site_fract_z
Pm1 0.000 0.000 0.000
Pm2 0.182 0.182 0.000
Pm3 0.818 0.818 0.000
Ti1 0.396 0.396 0.000
Ti2 0.604 0.604 0.000
N1 0.083 0.583 0.500
N2 0.301 0.301 0.000
N3 0.417 0.917 0.500
N4 0.583 0.083 0.500
N5 0.699 0.699 0.000
N6 0.917 0.417 0.500

=====

7.
# PBE-GGA Mg14ZrNi, optimized geometry
# Energy relative to the elements (eV per atom): 0.02
data_Mg14ZrNi
_cell_length_a 10.060
_cell_length_b 6.364
_cell_length_c 6.364
_cell_angle_alpha 57.70
_cell_angle_beta 90.00
_cell_angle_gamma 90.00
_symmetry_space_group_name_H-M 'P 1'
_symmetry_Int_Tables_number 1
loop_
_symmetry_equiv_pos_as_xyz
'x,y,z'
loop_
_atom_site_label
_atom_site_fract_x
_atom_site_fract_y
_atom_site_fract_z
Mg1 0.000 0.000 0.000
Mg2 0.000 0.003 0.494
Mg3 0.000 0.494 0.003
Mg4 0.000 0.497 0.497
Mg5 0.246 0.662 0.662
Mg6 0.260 0.163 0.665
Mg7 0.260 0.665 0.163
Mg8 0.286 0.147 0.147
Mg9 0.500 0.002 0.530
Mg10 0.500 0.530 0.002
Mg11 0.714 0.147 0.147
Mg12 0.740 0.163 0.665
Mg13 0.740 0.665 0.163
Mg14 0.754 0.662 0.662
Zr1 0.500 0.512 0.512
Ni1 0.500 0.986 0.986

=====

8.
# PBE-GGA AgPtPb2, optimized geometry
# Energy relative to the elements (eV per atom): 0.02
data_AgPtPb2
_cell_length_a 6.744
_cell_length_b 6.744
_cell_length_c 6.744
_cell_angle_alpha 150.69
_cell_angle_beta 139.96
_cell_angle_gamma 50.39
_symmetry_space_group_name_H-M 'P 1'
_symmetry_Int_Tables_number 1
loop_
_symmetry_equiv_pos_as_xyz
'x,y,z'
loop_
_atom_site_label
_atom_site_fract_x
_atom_site_fract_y
_atom_site_fract_z
Ag1 0.000 0.000 0.000
Pt1 0.802 0.302 0.500
Pb1 0.330 0.830 0.500
Pb2 0.606 0.606 0.000

=====

9.
# PBE-GGA CaAc9Pr4, optimized geometry
# Energy relative to the elements (eV per atom): 0.13
data_CaAc9Pr4
_cell_length_a 10.685
_cell_length_b 10.685
_cell_length_c 12.184
_cell_angle_alpha 90.00
_cell_angle_beta 90.00
_cell_angle_gamma 120.00
_symmetry_space_group_name_H-M 'P 1'
_symmetry_Int_Tables_number 1
loop_
_symmetry_equiv_pos_as_xyz
'x,y,z'
loop_
_atom_site_label
_atom_site_fract_x
_atom_site_fract_y
_atom_site_fract_z
Ca1 0.333 0.667 0.250
Ca2 0.667 0.333 0.750
Ac1 0.079 0.540 0.750
Ac2 0.205 0.410 0.023
Ac3 0.205 0.410 0.477
Ac4 0.205 0.795 0.023
Ac5 0.205 0.795 0.477
Ac6 0.410 0.205 0.523
Ac7 0.410 0.205 0.977
Ac8 0.460 0.540 0.750
Ac9 0.460 0.921 0.750
Ac10 0.540 0.079 0.250
Ac11 0.540 0.460 0.250
Ac12 0.590 0.795 0.023
Ac13 0.590 0.795 0.477
Ac14 0.795 0.205 0.523
Ac15 0.795 0.205 0.977
Ac16 0.795 0.590 0.523
Ac17 0.795 0.590 0.977
Ac18 0.921 0.460 0.250
Pr1 0.000 0.000 0.000
Pr2 0.000 0.000 0.500
Pr3 0.108 0.216 0.750
Pr4 0.108 0.892 0.750
Pr5 0.216 0.108 0.250
Pr6 0.784 0.892 0.750
Pr7 0.892 0.108 0.250
Pr8 0.892 0.784 0.250

=====

10.
# PBE-GGA LiCdPd4, optimized geometry
# Energy relative to the elements (eV per atom): -0.19
data_LiCdPd4
_cell_length_a 5.283
_cell_length_b 5.283
_cell_length_c 5.283
_cell_angle_alpha 60.00
_cell_angle_beta 60.00
_cell_angle_gamma 60.00
_symmetry_space_group_name_H-M 'P 1'
_symmetry_Int_Tables_number 1
loop_
_symmetry_equiv_pos_as_xyz
'x,y,z'
loop_
_atom_site_label
_atom_site_fract_x
_atom_site_fract_y
_atom_site_fract_z
Li1 0.000 0.000 0.000
Cd1 0.250 0.250 0.250
Pd1 0.125 0.625 0.625
Pd2 0.625 0.125 0.625
Pd3 0.625 0.625 0.125
Pd4 0.625 0.625 0.625

=====

11.
# PBE-GGA SrDyAlAg, optimized geometry
# Energy relative to the elements (eV per atom): -0.18
data_SrDyAlAg
_cell_length_a 5.337
_cell_length_b 5.337
_cell_length_c 5.337
_cell_angle_alpha 60.00
_cell_angle_beta 60.00
_cell_angle_gamma 60.00
_symmetry_space_group_name_H-M 'P 1'
_symmetry_Int_Tables_number 1
loop_
_symmetry_equiv_pos_as_xyz
'x,y,z'
loop_
_atom_site_label
_atom_site_fract_x
_atom_site_fract_y
_atom_site_fract_z
Sr1 0.000 0.000 0.000
Dy1 0.500 0.500 0.500
Al1 0.250 0.250 0.250
Ag1 0.750 0.750 0.750

=====

12.
# PBE-GGA CoHgPCl2, optimized geometry
# Formation energy from raw total energies (kJ per mole of atoms): 111.0
data_CoHgPCl2
_cell_length_a 5.176
_cell_length_b 5.176
_cell_length_c 5.109
_cell_angle_alpha 90.00
_cell_angle_beta 90.00
_cell_angle_gamma 90.00
_symmetry_space_group_name_H-M 'P 1'
_symmetry_Int_Tables_number 1
loop_
_symmetry_equiv_pos_as_xyz
'x,y,z'
loop_
_atom_site_label
_atom_site_fract_x
_atom_site_fract_y
_atom_site_fract_z
Co1 0.000 0.000 0.000
Hg1 0.500 0.500 0.500
P1 0.500 0.500 0.000
Cl1 0.000 0.500 0.500
Cl2 0.500 0.000 0.500